# TlPdOF2

TlPdOF2 after structural relaxation (PBE-GGA, Alexandria via LeMat-Bulk).

Calculated values
Energy relative to the lowest polymorph listed for this composition   0.00 eV/f.u.
ΔE_f (raw)   -1.036 eV per atom
DOS at the Fermi energy   2.23 states/eV/f.u.
SG   P4/mmm

The structure in CIF format:
```
data_TlPdOF2
_chemical_formula_sum 'Tl1 Pd1 O1 F2'
_space_group_name_H-M_alt 'P 1'
_space_group_IT_number 1
_cell_length_a 4.5105
_cell_length_b 4.5105
_cell_length_c 3.8893
_cell_angle_alpha 90.00
_cell_angle_beta 90.00
_cell_angle_gamma 90.00
loop_
_space_group_symop_operation_xyz
'x,y,z'
loop_
_atom_site_label
_atom_site_fract_x
_atom_site_fract_y
_atom_site_fract_z
Tl1 0.0000 0.0000 0.0000
Pd1 0.5000 0.5000 0.5000
O1 0.5000 0.5000 0.0000
F1 0.0000 0.5000 0.5000
F2 0.5000 0.0000 0.5000
```

***

# TlPdOF2

TlPdOF2 after structural relaxation (PBE-GGA, Alexandria via LeMat-Bulk).

Calculated values
Energy relative to the lowest polymorph listed for this composition   2.43 eV/f.u.
ΔE_f (raw)   -0.550 eV per atom
DOS at the Fermi energy   4.55 states/eV/f.u.
SG   P4/mmm

The structure in CIF format:
```
data_TlPdOF2
_chemical_formula_sum 'Tl1 Pd1 O1 F2'
_space_group_name_H-M_alt 'P 1'
_space_group_IT_number 1
_cell_length_a 4.4783
_cell_length_b 4.4783
_cell_length_c 4.2177
_cell_angle_alpha 90.00
_cell_angle_beta 90.00
_cell_angle_gamma 90.00
loop_
_space_group_symop_operation_xyz
'x,y,z'
loop_
_atom_site_label
_atom_site_fract_x
_atom_site_fract_y
_atom_site_fract_z
Tl1 0.0000 0.0000 0.0000
Pd1 0.5000 0.5000 0.5000
O1 0.0000 0.0000 0.5000
F1 0.0000 0.5000 0.0000
F2 0.5000 0.0000 0.0000
```